Density functional theory data (GGA-PBE) for BeSiMo after structural relaxation.

Properties
Energy above the lowest structure with this stoichiometry (meV per atom): 0
ΔE_f (raw) (eV per atom): -0.112
E_tot (eV per atom): -6.77

```
data_BeSiMo
_chemical_formula_sum 'Be1 Si1 Mo1'
_symmetry_space_group_name_H-M 'P -6 m 2'
_symmetry_Int_Tables_number 187
_symmetry_space_group_name_Hall 'P -6 2'
_cell_length_a 3.8190
_cell_length_b 3.8190
_cell_length_c 2.8981
_cell_angle_alpha 90.00
_cell_angle_beta 90.00
_cell_angle_gamma 120.00
loop_
_atom_site_label
_atom_site_fract_x
_atom_site_fract_y
_atom_site_fract_z
_atom_site_occupancy
Be1 0.0000 0.0000 0.0000 1
Si1 0.3333 0.6667 0.0000 1
Mo1 0.6667 0.3333 0.5000 1
```



Density functional theory data (GGA-PBE) for NdNi2Ge after structural relaxation.

Properties
E_tot (eV per atom): -5.78
ΔE_f (eV per atom): -0.5401

```
data_NdNi2Ge
_chemical_formula_sum 'Nd3 Ni6 Ge3'
_symmetry_space_group_name_H-M 'R -3 m'
_symmetry_Int_Tables_number 166
_symmetry_space_group_name_Hall '-R 3 2"'
_cell_length_a 4.1063
_cell_length_b 4.1063
_cell_length_c 14.6125
_cell_angle_alpha 90.00
_cell_angle_beta 90.00
_cell_angle_gamma 120.00
loop_
_atom_site_label
_atom_site_fract_x
_atom_site_fract_y
_atom_site_fract_z
_atom_site_occupancy
Nd1 0.0000 0.0000 0.0000 1
Ni1 0.0000 0.0000 0.1991 1
Ge1 0.0000 0.0000 0.5000 1
```



Density functional theory data (GGA-PBE) for Cu2TcPb after structural relaxation.

Properties
E_tot (eV per atom): -5.04
ΔE_f (eV per atom): 0.5277

```
data_Cu2TcPb
_chemical_formula_sum 'Cu4 Tc2 Pb2'
_symmetry_space_group_name_H-M 'C 1 2/m 1'
_symmetry_Int_Tables_number 12
_cell_length_a 5.496
_cell_length_b 7.958
_cell_length_c 2.951
_cell_angle_alpha 90.00
_cell_angle_beta 90.23
_cell_angle_gamma 90.00
loop_
_symmetry_equiv_pos_as_xyz
'x,y,z'
'-x,-y,-z'
'-x,y,-z'
'x,-y,z'
'x+1/2,y+1/2,z'
'-x+1/2,-y+1/2,-z'
'-x+1/2,y+1/2,-z'
'x+1/2,-y+1/2,z'
loop_
_atom_site_label
_atom_site_fract_x
_atom_site_fract_y
_atom_site_fract_z
_atom_site_occupancy
Cu1 0.250 0.250 0.000 1
Tc1 0.000 0.000 0.500 1
Pb1 0.000 0.500 0.500 1
```



Density functional theory data (GGA-PBE) for MnZnNiAs after structural relaxation.

Properties
Energy above the lowest structure with this stoichiometry (meV per atom): 67
E_tot (eV per atom): -5.22
ΔE_f (eV per atom): 0.0035

```
data_MnZnNiAs
_chemical_formula_sum 'Mn1 Zn1 Ni1 As1'
_symmetry_space_group_name_H-M 'P 1 2/m 1'
_symmetry_Int_Tables_number 10
_cell_length_a 4.221
_cell_length_b 2.841
_cell_length_c 4.915
_cell_angle_alpha 90.00
_cell_angle_beta 111.50
_cell_angle_gamma 90.00
loop_
_symmetry_equiv_pos_as_xyz
'x,y,z'
'-x,-y,-z'
'-x,y,-z'
'x,-y,z'
loop_
_atom_site_label
_atom_site_fract_x
_atom_site_fract_y
_atom_site_fract_z
_atom_site_occupancy
Mn1 0.000 0.000 0.000 1
Zn1 0.500 0.000 0.500 1
Ni1 0.000 0.500 0.500 1
As1 0.500 0.500 0.000 1
```



Density functional theory data (GGA-PBE) for CeAlZnPd3 after structural relaxation.

Properties
E_tot (eV per atom): -4.94
ΔE_f (eV per atom): -0.5233

```
data_CeAlZnPd3
_chemical_formula_sum 'Ce4 Al4 Zn4 Pd12'
_symmetry_space_group_name_H-M 'C m c m'
_symmetry_Int_Tables_number 63
_symmetry_space_group_name_Hall '-C 2c 2'
_cell_length_a 6.476
_cell_length_b 12.441
_cell_length_c 5.701
_cell_angle_alpha 90.00
_cell_angle_beta 90.00
_cell_angle_gamma 90.00
loop_
_atom_site_label
_atom_site_fract_x
_atom_site_fract_y
_atom_site_fract_z
_atom_site_occupancy
Ce1 0.000 0.200 0.250 1
Al1 0.000 0.447 0.250 1
Zn1 0.000 0.139 0.750 1
Pd1 0.000 0.343 0.750 1
Pd2 0.209 0.000 0.000 1
```



Density functional theory data (GGA-PBE) for GeRuS2 after structural relaxation.

Properties
ΔE_f (raw) (eV per atom): 0.054
E_tot (eV per atom): -5.48

```
data_GeRuS2
_chemical_formula_sum 'Ge4 Ru4 S8'
_symmetry_space_group_name_H-M 'I -4 2 d'
_symmetry_Int_Tables_number 122
_symmetry_space_group_name_Hall 'I -4 2bw'
_cell_length_a 5.778
_cell_length_b 5.778
_cell_length_c 10.171
_cell_angle_alpha 90.00
_cell_angle_beta 90.00
_cell_angle_gamma 90.00
loop_
_atom_site_label
_atom_site_fract_x
_atom_site_fract_y
_atom_site_fract_z
_atom_site_occupancy
Ge1 0.000 0.000 0.000 1
Ru1 0.000 0.000 0.500 1
S1 0.205 0.250 0.625 1
```



Density functional theory data (GGA-PBE) for TeRu2Cl after structural relaxation.

Properties
Energy above the lowest structure with this stoichiometry (meV per atom): 335
ΔE_f (raw) (eV per atom): 0.475
E_tot (eV per atom): -5.41

```
data_TeRu2Cl
_chemical_formula_sum 'Te2 Ru4 Cl2'
_symmetry_space_group_name_H-M 'I m m 2'
_symmetry_Int_Tables_number 44
_cell_length_a 2.979
_cell_length_b 4.104
_cell_length_c 11.821
_cell_angle_alpha 90.00
_cell_angle_beta 90.00
_cell_angle_gamma 90.00
loop_
_symmetry_equiv_pos_as_xyz
'x,y,z'
'-x,-y,z'
'-x,y,z'
'x,-y,z'
'x+1/2,y+1/2,z+1/2'
'-x+1/2,-y+1/2,z+1/2'
'-x+1/2,y+1/2,z+1/2'
'x+1/2,-y+1/2,z+1/2'
loop_
_atom_site_label
_atom_site_fract_x
_atom_site_fract_y
_atom_site_fract_z
_atom_site_occupancy
Te1 0.000 0.000 0.000 1
Ru1 0.000 0.000 0.596 1
Ru2 0.000 0.500 0.285 1
Cl1 0.000 0.500 0.778 1
```



Density functional theory data (GGA-PBE) for BeCu5 after structural relaxation.

Properties
Energy above the lowest structure with this stoichiometry (meV per atom): 356
E_tot (eV per atom): -3.71
ΔE_f (eV per atom): 0.3260

```
data_BeCu5
_chemical_formula_sum 'Be1 Cu5'
_symmetry_space_group_name_H-M 'P 6/m m m'
_symmetry_Int_Tables_number 191
_symmetry_space_group_name_Hall '-P 6 2'
_cell_length_a 4.6563
_cell_length_b 4.6563
_cell_length_c 4.1893
_cell_angle_alpha 90.00
_cell_angle_beta 90.00
_cell_angle_gamma 120.00
loop_
_atom_site_label
_atom_site_fract_x
_atom_site_fract_y
_atom_site_fract_z
_atom_site_occupancy
Be1 0.0000 0.0000 0.0000 1
Cu1 0.0000 0.5000 0.5000 1
Cu2 0.3333 0.6667 0.0000 1
```



Density functional theory data (GGA-PBE) for ErUC2 after structural relaxation.

Properties
Energy above the lowest structure with this stoichiometry (meV per atom): 0
E_tot (eV per atom): -8.88
ΔE_f (eV per atom): -0.3018

```
data_ErUC2
_chemical_formula_sum 'Er3 U3 C6'
_symmetry_space_group_name_H-M 'R -3 m'
_symmetry_Int_Tables_number 166
_symmetry_space_group_name_Hall '-R 3 2"'
_cell_length_a 3.5688
_cell_length_b 3.5688
_cell_length_c 16.9281
_cell_angle_alpha 90.00
_cell_angle_beta 90.00
_cell_angle_gamma 120.00
loop_
_atom_site_label
_atom_site_fract_x
_atom_site_fract_y
_atom_site_fract_z
_atom_site_occupancy
Er1 0.0000 0.0000 0.0000 1
U1 0.0000 0.0000 0.5000 1
C1 0.0000 0.0000 0.2386 1
```



Density functional theory data (GGA-PBE) for NaCa2PbO after structural relaxation.

Properties
ΔE_f (raw) (eV per atom): -1.298
E_tot (eV per atom): -4.10

```
data_NaCa2PbO
_chemical_formula_sum 'Na1 Ca2 Pb1 O1'
_symmetry_space_group_name_H-M 'P 4/m m m'
_symmetry_Int_Tables_number 123
_symmetry_space_group_name_Hall '-P 4 2'
_cell_length_a 4.775
_cell_length_b 4.775
_cell_length_c 5.017
_cell_angle_alpha 90.00
_cell_angle_beta 90.00
_cell_angle_gamma 90.00
loop_
_atom_site_label
_atom_site_fract_x
_atom_site_fract_y
_atom_site_fract_z
_atom_site_occupancy
Na1 0.000 0.000 0.000 1
Ca1 0.000 0.500 0.500 1
Pb1 0.500 0.500 0.000 1
O1 0.000 0.000 0.500 1
```



Density functional theory data (GGA-PBE) for ScAg2Cl2 after structural relaxation.

Properties
Energy above the lowest structure with this stoichiometry (meV per atom): 0
ΔE_f (raw) (eV per atom): -0.557
E_tot (eV per atom): -3.70

```
data_ScAg2Cl2
_chemical_formula_sum 'Sc2 Ag4 Cl4'
_symmetry_space_group_name_H-M 'I 4/m m m'
_symmetry_Int_Tables_number 139
_symmetry_space_group_name_Hall '-I 4 2'
_cell_length_a 3.588
_cell_length_b 3.588
_cell_length_c 20.692
_cell_angle_alpha 90.00
_cell_angle_beta 90.00
_cell_angle_gamma 90.00
loop_
_atom_site_label
_atom_site_fract_x
_atom_site_fract_y
_atom_site_fract_z
_atom_site_occupancy
Sc1 0.000 0.000 0.000 1
Ag1 0.000 0.500 0.250 1
Cl1 0.000 0.000 0.428 1
```



Density functional theory data (GGA-PBE) for PrSmDy5Y2 after structural relaxation.

Properties
E_tot (eV per atom): -4.89
ΔE_f (eV per atom): 0.1552

```
data_PrSmDy5Y2
_chemical_formula_sum 'Pr4 Sm4 Dy20 Y8'
_symmetry_space_group_name_H-M 'C m c 21'
_symmetry_Int_Tables_number 36
_cell_length_a 5.650
_cell_length_b 19.874
_cell_length_c 10.639
_cell_angle_alpha 90.00
_cell_angle_beta 90.00
_cell_angle_gamma 90.00
loop_
_symmetry_equiv_pos_as_xyz
'x,y,z'
'-x,-y,z+1/2'
'-x,y,z'
'x,-y,z+1/2'
'x+1/2,y+1/2,z'
'-x+1/2,-y+1/2,z+1/2'
'-x+1/2,y+1/2,z'
'x+1/2,-y+1/2,z+1/2'
loop_
_atom_site_label
_atom_site_fract_x
_atom_site_fract_y
_atom_site_fract_z
_atom_site_occupancy
Pr1 0.000 0.083 0.000 1
Sm1 0.000 0.298 0.560 1
Dy1 0.000 0.022 0.285 1
Dy2 0.000 0.109 0.572 1
Dy3 0.000 0.202 0.256 1
Dy4 0.000 0.218 0.858 1
Dy5 0.000 0.482 0.575 1
Y1 0.000 0.386 0.870 1
Y2 0.000 0.390 0.282 1
```



Density functional theory data (GGA-PBE) for Lu5Ir2 after structural relaxation.

Properties
E_tot (eV per atom): -6.50
ΔE_f (eV per atom): -0.7376

```
data_Lu5Ir2
_chemical_formula_sum 'Lu20 Ir8'
_symmetry_space_group_name_H-M 'C 1 2/c 1'
_symmetry_Int_Tables_number 15
_cell_length_a 15.258
_cell_length_b 6.390
_cell_length_c 7.105
_cell_angle_alpha 90.00
_cell_angle_beta 97.08
_cell_angle_gamma 90.00
loop_
_symmetry_equiv_pos_as_xyz
'x,y,z'
'-x,-y,-z'
'-x,y,-z+1/2'
'x,-y,z+1/2'
'x+1/2,y+1/2,z'
'-x+1/2,-y+1/2,-z'
'-x+1/2,y+1/2,-z+1/2'
'x+1/2,-y+1/2,z+1/2'
loop_
_atom_site_label
_atom_site_fract_x
_atom_site_fract_y
_atom_site_fract_z
_atom_site_occupancy
Lu1 0.000 0.071 0.250 1
Lu2 0.091 0.379 0.920 1
Lu3 0.221 0.067 0.317 1
Ir1 0.109 0.218 0.573 1
```



Density functional theory data (GGA-PBE) for Na2Sr3Li9 after structural relaxation.

Properties
E_tot (eV per atom): -1.73
ΔE_f (eV per atom): 0.0466

```
data_Na2Sr3Li9
_chemical_formula_sum 'Na4 Sr6 Li18'
_symmetry_space_group_name_H-M 'I m m m'
_symmetry_Int_Tables_number 71
_symmetry_space_group_name_Hall '-I 2 2'
_cell_length_a 5.239
_cell_length_b 10.589
_cell_length_c 15.380
_cell_angle_alpha 90.00
_cell_angle_beta 90.00
_cell_angle_gamma 90.00
loop_
_atom_site_label
_atom_site_fract_x
_atom_site_fract_y
_atom_site_fract_z
_atom_site_occupancy
Na1 0.000 0.198 0.000 1
Sr1 0.000 0.000 0.208 1
Sr2 0.000 0.000 0.500 1
Li1 0.000 0.284 0.361 1
Li2 0.000 0.356 0.172 1
Li3 0.000 0.500 0.500 1
```



Density functional theory data (GGA-PBE) for ReOs2W after structural relaxation.

Properties
Energy above the lowest structure with this stoichiometry (meV per atom): 0
E_tot (eV per atom): -11.98
ΔE_f (eV per atom): -0.0117

```
data_ReOs2W
_chemical_formula_sum 'Re1 Os2 W1'
_symmetry_space_group_name_H-M 'P 1 m 1'
_symmetry_Int_Tables_number 6
_cell_length_a 2.789
_cell_length_b 4.445
_cell_length_c 4.811
_cell_angle_alpha 90.00
_cell_angle_beta 90.13
_cell_angle_gamma 90.00
loop_
_symmetry_equiv_pos_as_xyz
'x,y,z'
'x,-y,z'
loop_
_atom_site_label
_atom_site_fract_x
_atom_site_fract_y
_atom_site_fract_z
_atom_site_occupancy
Re1 0.000 0.000 0.000 1
Os1 0.500 0.000 0.500 1
Os2 0.502 0.500 0.156 1
W1 0.003 0.500 0.659 1
```



Density functional theory data (GGA-PBE) for LiCe3Y2S6 after structural relaxation.

Properties
ΔE_f (raw) (eV per atom): -1.943
E_tot (eV per atom): -6.73

```
data_LiCe3Y2S6
_chemical_formula_sum 'Li2 Ce6 Y4 S12'
_symmetry_space_group_name_H-M 'C 1 2/m 1'
_symmetry_Int_Tables_number 12
_cell_length_a 6.833
_cell_length_b 11.848
_cell_length_c 6.898
_cell_angle_alpha 90.00
_cell_angle_beta 109.33
_cell_angle_gamma 90.00
loop_
_symmetry_equiv_pos_as_xyz
'x,y,z'
'-x,-y,-z'
'-x,y,-z'
'x,-y,z'
'x+1/2,y+1/2,z'
'-x+1/2,-y+1/2,-z'
'-x+1/2,y+1/2,-z'
'x+1/2,-y+1/2,z'
loop_
_atom_site_label
_atom_site_fract_x
_atom_site_fract_y
_atom_site_fract_z
_atom_site_occupancy
Li1 0.000 0.000 0.000 1
Ce1 0.000 0.167 0.500 1
Ce2 0.000 0.500 0.500 1
Y1 0.000 0.334 0.000 1
S1 0.242 0.164 0.236 1
S2 0.249 0.000 0.765 1
```



Density functional theory data (GGA-PBE) for RbMgIn2Rh after structural relaxation.

Properties
E_tot (eV per atom): -3.31
ΔE_f (eV per atom): -0.2349

```
data_RbMgIn2Rh
_chemical_formula_sum 'Rb1 Mg1 In2 Rh1'
_symmetry_space_group_name_H-M 'P 4/m m m'
_symmetry_Int_Tables_number 123
_symmetry_space_group_name_Hall '-P 4 2'
_cell_length_a 5.234
_cell_length_b 5.234
_cell_length_c 5.216
_cell_angle_alpha 90.00
_cell_angle_beta 90.00
_cell_angle_gamma 90.00
loop_
_atom_site_label
_atom_site_fract_x
_atom_site_fract_y
_atom_site_fract_z
_atom_site_occupancy
Rb1 0.000 0.000 0.000 1
Mg1 0.500 0.500 0.000 1
In1 0.000 0.500 0.500 1
Rh1 0.500 0.500 0.500 1
```



Density functional theory data (GGA-PBE) for RuPt2W after structural relaxation.

Properties
Energy above the lowest structure with this stoichiometry (meV per atom): 106
E_tot (eV per atom): -8.66
ΔE_f (eV per atom): -0.0860

```
data_RuPt2W
_chemical_formula_sum 'Ru2 Pt4 W2'
_symmetry_space_group_name_H-M 'C m m m'
_symmetry_Int_Tables_number 65
_symmetry_space_group_name_Hall '-C 2 2'
_cell_length_a 5.438
_cell_length_b 8.060
_cell_length_c 2.772
_cell_angle_alpha 90.00
_cell_angle_beta 90.00
_cell_angle_gamma 90.00
loop_
_atom_site_label
_atom_site_fract_x
_atom_site_fract_y
_atom_site_fract_z
_atom_site_occupancy
Ru1 0.000 0.000 0.000 1
Pt1 0.250 0.250 0.500 1
W1 0.000 0.500 0.000 1
```



Density functional theory data (GGA-PBE) for BaTc2NiCl after structural relaxation.

Properties
ΔE_f (raw) (eV per atom): 0.770
E_tot (eV per atom): -5.29

```
data_BaTc2NiCl
_chemical_formula_sum 'Ba1 Tc2 Ni1 Cl1'
_symmetry_space_group_name_H-M 'P 4/m m m'
_symmetry_Int_Tables_number 123
_symmetry_space_group_name_Hall '-P 4 2'
_cell_length_a 4.501
_cell_length_b 4.501
_cell_length_c 6.796
_cell_angle_alpha 90.00
_cell_angle_beta 90.00
_cell_angle_gamma 90.00
loop_
_atom_site_label
_atom_site_fract_x
_atom_site_fract_y
_atom_site_fract_z
_atom_site_occupancy
Ba1 0.000 0.000 0.000 1
Tc1 0.000 0.500 0.500 1
Ni1 0.500 0.500 0.500 1
Cl1 0.500 0.500 0.000 1
```



Density functional theory data (GGA-PBE) for LaPm2YH after structural relaxation.

Properties
E_tot (eV per atom): -5.02

```
data_LaPm2YH
_chemical_formula_sum 'La1 Pm2 Y1 H1'
_symmetry_space_group_name_H-M 'P 4/m m m'
_symmetry_Int_Tables_number 123
_symmetry_space_group_name_Hall '-P 4 2'
_cell_length_a 5.151
_cell_length_b 5.151
_cell_length_c 5.105
_cell_angle_alpha 90.00
_cell_angle_beta 90.00
_cell_angle_gamma 90.00
loop_
_atom_site_label
_atom_site_fract_x
_atom_site_fract_y
_atom_site_fract_z
_atom_site_occupancy
La1 0.000 0.000 0.000 1
Pm1 0.000 0.500 0.500 1
Y1 0.500 0.500 0.000 1
H1 0.500 0.500 0.500 1
```



no.,magnetic moment (μB per atom)
1,0.000
2,0.000
3,0.003
4,0.717
5,0.107
6,0.000
7,0.000
8,0.000
9,0.000
10,0.000
11,0.123
12,0.000
13,0.000
14,0.000
15,0.000
16,0.247
17,0.000
18,0.000
19,0.821
20,0.000